# LiVSi2O6

A crystal of LiVSi2O6 relaxed with PBEsol (meta-GGA SCAN, Alexandria via LeMat-Bulk).

CIF file:
```
data_LiVSi2O6
_chemical_formula_sum 'Li3 V3 Si6 O18'
_symmetry_space_group_name_H-M 'P -1'
_symmetry_Int_Tables_number 2
_symmetry_space_group_name_Hall '-P 1'
_cell_length_a 6.998
_cell_length_b 7.248
_cell_length_c 7.266
_cell_angle_alpha 81.95
_cell_angle_beta 62.36
_cell_angle_gamma 79.24
loop_
_atom_site_label
_atom_site_fract_x
_atom_site_fract_y
_atom_site_fract_z
_atom_site_occupancy
Li1 0.000 0.000 0.000 1
Li2 0.124 0.257 0.260 1
V1 0.452 0.727 0.757 1
V2 0.500 0.000 0.000 1
Si1 0.182 0.655 0.252 1
Si2 0.258 0.330 0.791 1
Si3 0.299 0.886 0.480 1
O1 0.049 0.336 0.749 1
O2 0.129 0.771 0.457 1
O3 0.220 0.920 0.720 1
O4 0.248 0.174 0.978 1
O5 0.279 0.537 0.828 1
O6 0.286 0.440 0.269 1
O7 0.340 0.782 0.052 1
O8 0.354 0.062 0.306 1
O9 0.472 0.262 0.567 1
```

Values from the calculation:
The total energy comes out at -317.3 eV/cell. As for the formation energy from raw total energies: -28.5 eV per formula unit.



# CaCdOs2

A crystal of CaCdOs2 relaxed with PBEsol (meta-GGA SCAN, Alexandria via LeMat-Bulk).

CIF file:
```
data_CaCdOs2
_chemical_formula_sum 'Ca3 Cd3 Os6'
_symmetry_space_group_name_H-M 'R 3 m'
_symmetry_Int_Tables_number 160
_symmetry_space_group_name_Hall 'R 3 -2"'
_cell_length_a 2.8664
_cell_length_b 2.8664
_cell_length_c 29.3856
_cell_angle_alpha 90.00
_cell_angle_beta 90.00
_cell_angle_gamma 120.00
loop_
_atom_site_label
_atom_site_fract_x
_atom_site_fract_y
_atom_site_fract_z
_atom_site_occupancy
Ca1 0.0000 0.0000 0.0000 1
Cd1 0.0000 0.0000 0.2361 1
Os1 0.0000 0.0000 0.4867 1
Os2 0.0000 0.0000 0.7516 1
```

Values from the calculation:
For the energy of formation, the calculation gives 0.589 eV per atom. As for the density of states at the Fermi level: 2.5 states/eV/f.u. The total energy comes out at -544.4 eV/cell.



# La16Al13

A crystal of La16Al13 relaxed with PBEsol (meta-GGA SCAN, Alexandria via LeMat-Bulk).

CIF file:
```
data_La16Al13
_chemical_formula_sum 'La16 Al13'
_symmetry_space_group_name_H-M 'P -6 2 m'
_symmetry_Int_Tables_number 189
_symmetry_space_group_name_Hall 'P -6 -2'
_cell_length_a 9.0260
_cell_length_b 9.0260
_cell_length_c 11.0182
_cell_angle_alpha 90.00
_cell_angle_beta 90.00
_cell_angle_gamma 120.00
loop_
_atom_site_label
_atom_site_fract_x
_atom_site_fract_y
_atom_site_fract_z
_atom_site_occupancy
La1 0.0000 0.2253 0.0000 1
La2 0.0000 0.3871 0.3363 1
La3 0.0000 0.7393 0.5000 1
La4 0.3333 0.6667 0.1654 1
Al1 0.0000 0.0000 0.2664 1
Al2 0.0000 0.5754 0.0000 1
Al3 0.0000 0.7137 0.2108 1
Al4 0.3333 0.6667 0.5000 1
```

Values from the calculation:
For the energy of formation, the calculation gives -0.412 eV per atom. As for the density of states at the Fermi level: 18.0 states/eV/f.u. The total energy comes out at -802.4 eV/cell.



# Sc2CoNi

A crystal of Sc2CoNi relaxed with PBEsol (meta-GGA SCAN, Alexandria via LeMat-Bulk).

CIF file:
```
data_Sc2CoNi
_chemical_formula_sum 'Sc2 Co1 Ni1'
_symmetry_space_group_name_H-M 'P 4/m m m'
_symmetry_Int_Tables_number 123
_symmetry_space_group_name_Hall '-P 4 2'
_cell_length_a 3.091
_cell_length_b 3.091
_cell_length_c 6.213
_cell_angle_alpha 90.00
_cell_angle_beta 90.00
_cell_angle_gamma 90.00
loop_
_atom_site_label
_atom_site_fract_x
_atom_site_fract_y
_atom_site_fract_z
_atom_site_occupancy
Sc1 0.000 0.000 0.246 1
Co1 0.500 0.500 0.000 1
Ni1 0.500 0.500 0.500 1
```

Values from the calculation:
For the energy of formation, the calculation gives -0.463 eV per atom. As for the density of states at the Fermi level: 1.7 states/eV/f.u. The total energy comes out at -63.8 eV/cell.



# CaSiF2

A crystal of CaSiF2 relaxed with PBEsol (meta-GGA SCAN, Alexandria via LeMat-Bulk).

CIF file:
```
data_CaSiF2
_chemical_formula_sum 'Ca3 Si3 F6'
_symmetry_space_group_name_H-M 'R -3 m'
_symmetry_Int_Tables_number 166
_symmetry_space_group_name_Hall '-R 3 2"'
_cell_length_a 4.1113
_cell_length_b 4.1113
_cell_length_c 12.5007
_cell_angle_alpha 90.00
_cell_angle_beta 90.00
_cell_angle_gamma 120.00
loop_
_atom_site_label
_atom_site_fract_x
_atom_site_fract_y
_atom_site_fract_z
_atom_site_occupancy
Ca1 0.0000 0.0000 0.0000 1
Si1 0.0000 0.0000 0.5000 1
F1 0.0000 0.0000 0.1819 1
```

Values from the calculation:
The total energy comes out at -102.1 eV/cell. As for the formation energy from raw total energies: -7.3 eV per formula unit.



# KAsCl2

A crystal of KAsCl2 relaxed with PBEsol (meta-GGA SCAN, Alexandria via LeMat-Bulk).

CIF file:
```
data_KAsCl2
_chemical_formula_sum 'K2 As2 Cl4'
_symmetry_space_group_name_H-M 'I m m 2'
_symmetry_Int_Tables_number 44
_symmetry_space_group_name_Hall 'I 2 -2'
_cell_length_a 3.607
_cell_length_b 4.142
_cell_length_c 13.786
_cell_angle_alpha 90.00
_cell_angle_beta 90.00
_cell_angle_gamma 90.00
loop_
_atom_site_label
_atom_site_fract_x
_atom_site_fract_y
_atom_site_fract_z
_atom_site_occupancy
K1 0.000 0.000 0.000 1
As1 0.000 0.500 0.728 1
Cl1 0.000 0.000 0.418 1
Cl2 0.000 0.500 0.204 1
```

Values from the calculation:
As for the density of states at the Fermi level: 1.4 states/eV/f.u. The total energy comes out at -94.4 eV/cell. As for the formation energy from raw total energies: -2.7 eV per formula unit.